Density functional theory data (PBE) for a geometry-optimized TmSc2Nb structure.

Cell lengths 3.222, 3.222, 10.637 Å; angles 81.29, 81.29, 60.00 degrees
Element x y z (fractional)
Tm  0.501  0.501  0.498
Sc  0.075  0.075  0.774
Sc  0.258  0.258  0.227
Nb  0.666  0.666  0.001

Energy of formation, eV per atom: 0.16
Uncorrected energy, eV per atom: -6.64
Total magnetic moment, μB/cell: 0.00

Density functional theory data (PBE) for a geometry-optimized CdInSb2 structure.

Cell lengths 3.219, 3.219, 10.300 Å; angles 90.00, 90.00, 90.00 degrees
Element x y z (fractional)
Sb  0.000  0.000  0.987
Sb  0.500  0.500  0.270
Cd  0.000  0.000  0.504
In  0.500  0.500  0.739

ΔE_f (raw), kJ/mol of atoms: 13.9
Uncorrected energy, eV per atom: -2.83
Total magnetic moment, μB/cell: 0.00

Density functional theory data (PBE) for a geometry-optimized ScRuBr2 structure.

Cell lengths 4.727, 4.727, 4.727 Å; angles 60.00, 60.00, 60.00 degrees
Element x y z (fractional)
Sc  0.000  0.000  0.000
Ru  0.500  0.500  0.500
Br  0.250  0.250  0.250
Br  0.750  0.750  0.750

ΔE_f (raw), kJ/mol of atoms: -0.1
Uncorrected energy, eV per atom: -4.74
Total magnetic moment, μB/cell: 1.00

Density functional theory data (PBE) for a geometry-optimized MgIn15Bi4 structure.

Cell lengths 4.750, 4.750, 25.098 Å; angles 90.00, 90.00, 90.00 degrees
Element x y z (fractional)
Mg  0.000  0.000  0.000
In  0.500  0.500  0.000
In  0.500  0.500  0.195
In  0.500  0.500  0.396
In  0.500  0.500  0.604
In  0.500  0.500  0.805
In  0.500  0.000  0.092
In  0.500  0.000  0.295
In  0.500  0.000  0.500
In  0.500  0.000  0.705
In  0.500  0.000  0.908
In  0.000  0.500  0.092
In  0.000  0.500  0.295
In  0.000  0.500  0.500
In  0.000  0.500  0.705
In  0.000  0.500  0.908
Bi  0.000  0.000  0.190
Bi  0.000  0.000  0.398
Bi  0.000  0.000  0.602
Bi  0.000  0.000  0.810

Energy of formation, eV per atom: 0.02
Uncorrected energy, eV per atom: -2.89
Total magnetic moment, μB/cell: 0.00

Density functional theory data (PBE) for a geometry-optimized CaZnCu2F8 structure.

Cell lengths 5.311, 5.311, 6.504 Å; angles 114.10, 114.10, 90.00 degrees
Element x y z (fractional)
Ca  0.750  0.250  0.500
Zn  0.000  0.000  0.000
Cu  0.500  0.500  0.000
Cu  0.250  0.750  0.500
F  0.740  0.849  0.114
F  0.373  0.264  0.114
F  0.613  0.662  0.629
F  0.017  0.968  0.629
F  0.032  0.387  0.371
F  0.338  0.983  0.371
F  0.151  0.627  0.886
F  0.736  0.260  0.886

ΔE_f (raw), kJ/mol of atoms: -215.1
Uncorrected energy, eV per atom: -4.43
Total magnetic moment, μB/cell: 2.00

Density functional theory data (PBE) for a geometry-optimized RbAcAgF6 structure.

Cell lengths 8.176, 8.028, 7.956 Å; angles 120.30, 120.92, 90.00 degrees
Element x y z (fractional)
Rb  0.836  0.586  0.673
Rb  0.164  0.414  0.327
Ac  0.500  0.000  0.500
Ac  0.000  0.000  0.500
Ag  0.500  0.500  0.000
Ag  0.500  0.000  0.000
F  0.626  0.876  0.251
F  0.879  0.129  0.758
F  0.827  0.158  0.270
F  0.444  0.612  0.270
F  0.444  0.158  0.270
F  0.827  0.612  0.270
F  0.374  0.124  0.749
F  0.121  0.871  0.242
F  0.173  0.842  0.730
F  0.556  0.388  0.730
F  0.556  0.842  0.730
F  0.173  0.388  0.730

ΔE_f (raw), kJ/mol of atoms: -272.7
Uncorrected energy, eV per atom: -4.95
Total magnetic moment, μB/cell: 2.00

> Which of these has the lowest uncorrected energy?

TmSc2Nb

> Look up the uncorrected energy of the fourth one.

-2.89 eV per atom